Entry 1:
TbNdGaPt: optimized geometry, GGA-PBE.

## Properties
E_form ... -0.883 eV/atom
Electronic total energy ... -5.50 eV/atom
Size of the total moment ... 0.00 Bohr magnetons per cell
Polymorph energy (0 for the lowest one) ... 0 meV/atom
Fermi-level density of states ... 7.612 states/eV/cell

a = 4.368 Å, b = 3.927 Å, c = 11.291 Å
α = 90.00°, β = 90.00°, γ = 90.00°
Space group Amm2 (No. 38)
Unique sites:
Tb 0.000 0.000 0.000 x2
Nd 0.500 0.000 0.285 x2
Ga 0.000 0.000 0.709 x2
Pt 0.500 0.000 0.558 x2

---

Entry 2:
TbNdGaPt: optimized geometry, GGA-PBE.

## Properties
E_form ... -0.783 eV/atom
Electronic total energy ... -5.40 eV/atom
Size of the total moment ... 0.00 Bohr magnetons per cell
Polymorph energy (0 for the lowest one) ... 100 meV/atom
Fermi-level density of states ... 12.180 states/eV/cell

a = 7.224 Å, b = 7.224 Å, c = 7.224 Å
α = 90.00°, β = 90.00°, γ = 90.00°
Space group F-43m (No. 216)
Unique sites:
Tb 0.000 0.000 0.000 x4
Nd 0.000 0.000 0.500 x4
Ga 0.250 0.250 0.250 x4
Pt 0.250 0.250 0.750 x4